Crystalline Lu2Sc at its relaxed geometry. Source: the Alexandria database, functional GGA-PBE.

Geometry as extended XYZ:
```
6
Lattice="0.000 4.431 4.431 4.431 0.000 4.431 4.431 4.431 0.000" Properties=species:S:1:pos:R:3 pbc="T T T"
Lu 0.000 0.000 0.000
Lu 2.215 2.215 0.000
Lu 2.215 0.000 2.215
Lu 0.000 2.215 2.215
Sc 3.323 3.323 3.323
Sc 5.538 5.538 5.538
```

Output
* Fermi-level density of states: 5.42 states/eV/f.u.
* magnetic moment: 0.04 μB/f.u.
* uncorrected energy: -4.79 eV/atom
* theoretical density: 7.5 g/cm³
* E_form: 1.00 eV/f.u.